<one>
# Na2NbNi | Alexandria via LeMat-Bulk | PBE-GGA | relaxed
data_Na2NbNi
_space_group_name_H-M_alt 'F m -3 m'
_space_group_IT_number 225
_space_group_name_Hall '-F 4 2 3'
_cell_length_a 6.6933
_cell_length_b 6.6933
_cell_length_c 6.6933
_cell_angle_alpha 90.00
_cell_angle_beta 90.00
_cell_angle_gamma 90.00
loop_
_atom_site_label
_atom_site_type_symbol
_atom_site_fract_x
_atom_site_fract_y
_atom_site_fract_z
_atom_site_occupancy
Na1 Na 0.2500 0.2500 0.2500 1
Nb1 Nb 0.0000 0.0000 0.0000 1
Ni1 Ni 0.0000 0.0000 0.5000 1
# Fermi-level density of states: 6.6 states/eV/f.u.
# size of the total moment: 0.00 μB per formula unit

<two>
# Na2NbNi | Alexandria via LeMat-Bulk | PBE-GGA | relaxed
data_Na2NbNi
_space_group_name_H-M_alt 'I -4 2 d'
_space_group_IT_number 122
_space_group_name_Hall 'I -4 2bw'
_cell_length_a 8.4682
_cell_length_b 8.4682
_cell_length_c 4.9099
_cell_angle_alpha 90.00
_cell_angle_beta 90.00
_cell_angle_gamma 90.00
loop_
_atom_site_label
_atom_site_type_symbol
_atom_site_fract_x
_atom_site_fract_y
_atom_site_fract_z
_atom_site_occupancy
Na1 Na 0.1890 0.7500 0.1250 1
Nb1 Nb 0.0000 0.0000 0.5000 1
Ni1 Ni 0.0000 0.0000 0.0000 1
# Fermi-level density of states: 3.3 states/eV/f.u.
# size of the total moment: 2.14 μB per formula unit

Relative stability in eV/atom, measured from the most stable structure: <one> 0.252; <two> 0.000

<one>
# Na8NbO6 | Alexandria via LeMat-Bulk | PBE-GGA | relaxed
data_Na8NbO6
_space_group_name_H-M_alt 'P 63 c m'
_space_group_IT_number 185
_space_group_name_Hall 'P 6c -2'
_cell_length_a 6.5071
_cell_length_b 6.5071
_cell_length_c 13.3639
_cell_angle_alpha 90.00
_cell_angle_beta 90.00
_cell_angle_gamma 120.00
loop_
_atom_site_label
_atom_site_type_symbol
_atom_site_fract_x
_atom_site_fract_y
_atom_site_fract_z
_atom_site_occupancy
Na1 Na 0.0000 0.3039 0.0000 1
Na2 Na 0.0000 0.3990 0.3575 1
Na3 Na 0.3333 0.6667 0.1388 1
Nb1 Nb 0.0000 0.0000 0.2184 1
O1 O 0.0000 0.0000 0.3615 1
O2 O 0.0000 0.2823 0.1825 1
O3 O 0.3333 0.6667 0.4532 1
# Fermi-level density of states: 1.4 states/eV/f.u.
# size of the total moment: 0.00 μB per formula unit

<two>
# Na8NbO6 | Alexandria via LeMat-Bulk | PBE-GGA | relaxed
data_Na8NbO6
_space_group_name_H-M_alt 'P m n 21'
_space_group_IT_number 31
_cell_length_a 6.9353
_cell_length_b 7.2481
_cell_length_c 9.7978
_cell_angle_alpha 90.00
_cell_angle_beta 90.00
_cell_angle_gamma 90.00
loop_
_space_group_symop_operation_xyz
'x,y,z'
'-x+1/2,-y,z+1/2'
'-x,y,z'
'x+1/2,-y,z+1/2'
loop_
_atom_site_label
_atom_site_type_symbol
_atom_site_fract_x
_atom_site_fract_y
_atom_site_fract_z
_atom_site_occupancy
Na1 Na 0.0000 0.1675 0.0000 1
Na2 Na 0.0000 0.1864 0.4494 1
Na3 Na 0.1919 0.6770 0.0911 1
Na4 Na 0.2099 0.5911 0.7813 1
Na5 Na 0.2194 0.9609 0.7555 1
Nb1 Nb 0.0000 0.7114 0.4517 1
O1 O 0.0000 0.2385 0.2286 1
O2 O 0.0000 0.4903 0.5602 1
O3 O 0.0000 0.7883 0.9129 1
O4 O 0.0000 0.9176 0.5687 1
O5 O 0.2194 0.7249 0.3376 1
# Fermi-level density of states: 2.2 states/eV/f.u.
# size of the total moment: 0.00 μB per formula unit

Relative stability in eV/atom, measured from the most stable structure: <one> 0.000; <two> 0.086

<one>
# NaNb2O5 | Alexandria via LeMat-Bulk | PBE-GGA | relaxed
data_NaNb2O5
_space_group_name_H-M_alt 'C m c m'
_space_group_IT_number 63
_space_group_name_Hall '-C 2c 2'
_cell_length_a 3.8638
_cell_length_b 10.7011
_cell_length_c 10.4491
_cell_angle_alpha 90.00
_cell_angle_beta 90.00
_cell_angle_gamma 90.00
loop_
_atom_site_label
_atom_site_type_symbol
_atom_site_fract_x
_atom_site_fract_y
_atom_site_fract_z
_atom_site_occupancy
Na1 Na 0.0000 0.0915 0.2500 1
Nb1 Nb 0.0000 0.3666 0.0686 1
O1 O 0.0000 0.1800 0.5393 1
O2 O 0.0000 0.3128 0.2500 1
O3 O 0.0000 0.4621 0.6158 1
# Fermi-level density of states: 3.0 states/eV/f.u.
# size of the total moment: 0.00 μB per formula unit

<two>
# NaNb2O5 | Alexandria via LeMat-Bulk | PBE-GGA | relaxed
data_NaNb2O5
_space_group_name_H-M_alt 'I m m m'
_space_group_IT_number 71
_space_group_name_Hall '-I 2 2'
_cell_length_a 3.2251
_cell_length_b 5.3636
_cell_length_c 10.7453
_cell_angle_alpha 90.00
_cell_angle_beta 90.00
_cell_angle_gamma 90.00
loop_
_atom_site_label
_atom_site_type_symbol
_atom_site_fract_x
_atom_site_fract_y
_atom_site_fract_z
_atom_site_occupancy
Na1 Na 0.0000 0.0000 0.0000 1
Nb1 Nb 0.0000 0.5000 0.1823 1
O1 O 0.0000 0.2577 0.3389 1
O2 O 0.0000 0.5000 0.0000 1
# Fermi-level density of states: 3.4 states/eV/f.u.
# size of the total moment: 0.88 μB per formula unit

Relative stability in eV/atom, measured from the most stable structure: <one> 0.000; <two> 0.084

<one>
# NaNb2O4 | Alexandria via LeMat-Bulk | PBE-GGA | relaxed
data_NaNb2O4
_space_group_name_H-M_alt 'P b c m'
_space_group_IT_number 57
_cell_length_a 5.1534
_cell_length_b 12.2416
_cell_length_c 5.9635
_cell_angle_alpha 90.00
_cell_angle_beta 90.00
_cell_angle_gamma 90.00
loop_
_space_group_symop_operation_xyz
'x,y,z'
'-x,-y,-z'
'-x,-y,z+1/2'
'x,y,-z+1/2'
'x,-y+1/2,-z'
'-x,y+1/2,z'
'-x,y+1/2,-z+1/2'
'x,-y+1/2,z+1/2'
loop_
_atom_site_label
_atom_site_type_symbol
_atom_site_fract_x
_atom_site_fract_y
_atom_site_fract_z
_atom_site_occupancy
Na1 Na 0.1934 0.0036 0.2500 1
Nb1 Nb 0.1589 0.7473 0.2500 1
Nb2 Nb 0.3440 0.2500 0.0000 1
O1 O 0.0087 0.1474 0.5023 1
O2 O 0.4874 0.6500 0.7500 1
O3 O 0.4953 0.6478 0.2500 1
# Fermi-level density of states: 5.1 states/eV/f.u.
# size of the total moment: 0.00 μB per formula unit

<two>
# NaNb2O4 | Alexandria via LeMat-Bulk | PBE-GGA | relaxed
data_NaNb2O4
_space_group_name_H-M_alt 'P -3 m 1'
_space_group_IT_number 164
_space_group_name_Hall '-P 3 2"'
_cell_length_a 3.0092
_cell_length_b 3.0092
_cell_length_c 11.2624
_cell_angle_alpha 90.00
_cell_angle_beta 90.00
_cell_angle_gamma 120.00
loop_
_atom_site_label
_atom_site_type_symbol
_atom_site_fract_x
_atom_site_fract_y
_atom_site_fract_z
_atom_site_occupancy
Na1 Na 0.0000 0.0000 0.0000 1
Nb1 Nb 0.3333 0.6667 0.7393 1
O1 O 0.3333 0.6667 0.1426 1
O2 O 0.3333 0.6667 0.3625 1
# Fermi-level density of states: 3.1 states/eV/f.u.
# size of the total moment: 0.00 μB per formula unit

Relative stability in eV/atom, measured from the most stable structure: <one> 0.000; <two> 0.104

<one>
# NaNb3O | Alexandria via LeMat-Bulk | PBE-GGA | relaxed
data_NaNb3O
_space_group_name_H-M_alt 'P m -3 m'
_space_group_IT_number 221
_space_group_name_Hall '-P 4 2 3'
_cell_length_a 4.6556
_cell_length_b 4.6556
_cell_length_c 4.6556
_cell_angle_alpha 90.00
_cell_angle_beta 90.00
_cell_angle_gamma 90.00
loop_
_atom_site_label
_atom_site_type_symbol
_atom_site_fract_x
_atom_site_fract_y
_atom_site_fract_z
_atom_site_occupancy
Na1 Na 0.0000 0.0000 0.0000 1
Nb1 Nb 0.0000 0.0000 0.5000 1
O1 O 0.5000 0.5000 0.5000 1
# Fermi-level density of states: 2.2 states/eV/f.u.
# size of the total moment: 0.00 μB per formula unit

<two>
# NaNb3O | Alexandria via LeMat-Bulk | PBE-GGA | relaxed
data_NaNb3O
_space_group_name_H-M_alt 'P m -3 m'
_space_group_IT_number 221
_space_group_name_Hall '-P 4 2 3'
_cell_length_a 4.3438
_cell_length_b 4.3438
_cell_length_c 4.3438
_cell_angle_alpha 90.00
_cell_angle_beta 90.00
_cell_angle_gamma 90.00
loop_
_atom_site_label
_atom_site_type_symbol
_atom_site_fract_x
_atom_site_fract_y
_atom_site_fract_z
_atom_site_occupancy
Na1 Na 0.0000 0.0000 0.0000 1
Nb1 Nb 0.0000 0.5000 0.5000 1
O1 O 0.5000 0.5000 0.5000 1
# Fermi-level density of states: 4.6 states/eV/f.u.
# size of the total moment: 0.00 μB per formula unit

Relative stability in eV/atom, measured from the most stable structure: <one> 2.706; <two> 0.000

<one>
# NaNbP2O | Alexandria via LeMat-Bulk | PBE-GGA | relaxed
data_NaNbP2O
_space_group_name_H-M_alt 'P 4/m m m'
_space_group_IT_number 123
_space_group_name_Hall '-P 4 2'
_cell_length_a 4.9822
_cell_length_b 4.9822
_cell_length_c 3.9793
_cell_angle_alpha 90.00
_cell_angle_beta 90.00
_cell_angle_gamma 90.00
loop_
_atom_site_label
_atom_site_type_symbol
_atom_site_fract_x
_atom_site_fract_y
_atom_site_fract_z
_atom_site_occupancy
Na1 Na 0.0000 0.0000 0.0000 1
Nb1 Nb 0.5000 0.5000 0.5000 1
P1 P 0.0000 0.5000 0.5000 1
O1 O 0.5000 0.5000 0.0000 1
# Fermi-level density of states: 4.1 states/eV/f.u.
# size of the total moment: 0.74 μB per formula unit

<two>
# NaNbP2O | Alexandria via LeMat-Bulk | PBE-GGA | relaxed
data_NaNbP2O
_space_group_name_H-M_alt 'P 4/m m m'
_space_group_IT_number 123
_space_group_name_Hall '-P 4 2'
_cell_length_a 4.6582
_cell_length_b 4.6582
_cell_length_c 3.8207
_cell_angle_alpha 90.00
_cell_angle_beta 90.00
_cell_angle_gamma 90.00
loop_
_atom_site_label
_atom_site_type_symbol
_atom_site_fract_x
_atom_site_fract_y
_atom_site_fract_z
_atom_site_occupancy
Na1 Na 0.0000 0.0000 0.0000 1
Nb1 Nb 0.5000 0.5000 0.5000 1
P1 P 0.0000 0.5000 0.0000 1
O1 O 0.0000 0.0000 0.5000 1
# Fermi-level density of states: 6.1 states/eV/f.u.
# size of the total moment: 0.00 μB per formula unit

Relative stability in eV/atom, measured from the most stable structure: <one> 0.000; <two> 1.584

<one>
# NaNbPO2 | Alexandria via LeMat-Bulk | PBE-GGA | relaxed
data_NaNbPO2
_space_group_name_H-M_alt 'P 4/m m m'
_space_group_IT_number 123
_space_group_name_Hall '-P 4 2'
_cell_length_a 3.8840
_cell_length_b 3.8840
_cell_length_c 4.8190
_cell_angle_alpha 90.00
_cell_angle_beta 90.00
_cell_angle_gamma 90.00
loop_
_atom_site_label
_atom_site_type_symbol
_atom_site_fract_x
_atom_site_fract_y
_atom_site_fract_z
_atom_site_occupancy
Na1 Na 0.0000 0.0000 0.0000 1
Nb1 Nb 0.5000 0.5000 0.5000 1
P1 P 0.0000 0.0000 0.5000 1
O1 O 0.0000 0.5000 0.0000 1
# Fermi-level density of states: 4.2 states/eV/f.u.
# size of the total moment: 1.17 μB per formula unit

<two>
# NaNbPO2 | Alexandria via LeMat-Bulk | PBE-GGA | relaxed
data_NaNbPO2
_space_group_name_H-M_alt 'P 4/m m m'
_space_group_IT_number 123
_space_group_name_Hall '-P 4 2'
_cell_length_a 4.0011
_cell_length_b 4.0011
_cell_length_c 5.1524
_cell_angle_alpha 90.00
_cell_angle_beta 90.00
_cell_angle_gamma 90.00
loop_
_atom_site_label
_atom_site_type_symbol
_atom_site_fract_x
_atom_site_fract_y
_atom_site_fract_z
_atom_site_occupancy
Na1 Na 0.0000 0.0000 0.0000 1
Nb1 Nb 0.5000 0.5000 0.5000 1
P1 P 0.5000 0.5000 0.0000 1
O1 O 0.0000 0.5000 0.5000 1
# Fermi-level density of states: 2.6 states/eV/f.u.
# size of the total moment: 0.80 μB per formula unit

Relative stability in eV/atom, measured from the most stable structure: <one> 1.880; <two> 0.000